1.
Density functional theory data (PBE) for a relaxed Zr3Tl3CuS8 crystal. Values from VASP.

Summary:
Total moment   0.00 μB per formula unit
Crystal system   trigonal
Space group   R-3m, No. 166

```
&SYSTEM
  ibrav = 0, nat = 15, ntyp = 4
/
ATOMIC_SPECIES
Zr 91.22 Zr.upf
Tl 204.38 Tl.upf
Cu 63.55 Cu.upf
S 32.06 S.upf
ATOMIC_POSITIONS crystal
Zr 0.000 0.500 0.500
Zr 0.500 0.000 0.500
Zr 0.500 0.500 0.000
Tl 0.000 0.000 0.500
Tl 0.000 0.500 0.000
Tl 0.500 0.000 0.000
Cu 0.000 0.000 0.000
S 0.229 0.229 0.727
S 0.229 0.727 0.229
S 0.268 0.268 0.268
S 0.273 0.771 0.771
S 0.727 0.229 0.229
S 0.732 0.732 0.732
S 0.771 0.273 0.771
S 0.771 0.771 0.273
CELL_PARAMETERS angstrom
3.740 2.159 7.594
-3.740 2.159 7.594
0.000 -4.318 7.594
```



2.
Density functional theory data (PBE) for a relaxed Ba2YNiI crystal. Values from VASP.

Summary:
Total moment   0.00 μB per formula unit
Crystal system   tetragonal
ΔE to the lowest computed polymorph   52.8 meV/atom
Space group   P4/mmm, No. 123

```
&SYSTEM
  ibrav = 0, nat = 5, ntyp = 4
/
ATOMIC_SPECIES
Ba 137.33 Ba.upf
Y 88.91 Y.upf
Ni 58.69 Ni.upf
I 126.90 I.upf
ATOMIC_POSITIONS crystal
Ba 0.000 0.500 0.000
Ba 0.500 0.000 0.000
Y 0.000 0.000 0.500
Ni 0.500 0.500 0.500
I 0.500 0.500 0.000
CELL_PARAMETERS angstrom
6.699 0.000 0.000
0.000 6.699 0.000
0.000 0.000 4.714
```



3.
Density functional theory data (PBE) for a relaxed SrReSeN2 crystal. Values from VASP.

Summary:
Total moment   0.00 μB per formula unit
Crystal system   tetragonal
ΔE to the lowest computed polymorph   0.0 meV/atom
Space group   P4/mmm, No. 123

```
&SYSTEM
  ibrav = 0, nat = 5, ntyp = 4
/
ATOMIC_SPECIES
Sr 87.62 Sr.upf
Re 186.21 Re.upf
Se 78.96 Se.upf
N 14.01 N.upf
ATOMIC_POSITIONS crystal
Sr 0.000 0.000 0.000
Re 0.500 0.500 0.500
Se 0.500 0.500 0.000
N 0.000 0.500 0.500
N 0.500 0.000 0.500
CELL_PARAMETERS angstrom
4.000 0.000 0.000
0.000 4.000 0.000
0.000 0.000 5.386
```



4.
Density functional theory data (PBE) for a relaxed K2NpSeS2 crystal. Values from VASP.

Summary:
Total moment   3.00 μB per formula unit
Crystal system   tetragonal
Space group   P4/mmm, No. 123

```
&SYSTEM
  ibrav = 0, nat = 6, ntyp = 4
/
ATOMIC_SPECIES
K 39.10 K.upf
Np 237.00 Np.upf
Se 78.96 Se.upf
S 32.06 S.upf
ATOMIC_POSITIONS crystal
K 0.000 0.000 0.234
K 0.000 0.000 0.766
Np 0.500 0.500 0.500
Se 0.500 0.500 0.000
S 0.000 0.500 0.500
S 0.500 0.000 0.500
CELL_PARAMETERS angstrom
5.322 0.000 0.000
0.000 5.322 0.000
0.000 0.000 6.098
```



5.
Density functional theory data (PBE) for a relaxed BaH2PbO crystal. Values from VASP.

Summary:
Total moment   0.00 μB per formula unit
Crystal system   tetragonal
Space group   P4/mmm, No. 123

```
&SYSTEM
  ibrav = 0, nat = 5, ntyp = 4
/
ATOMIC_SPECIES
Ba 137.33 Ba.upf
H 1.01 H.upf
Pb 207.20 Pb.upf
O 16.00 O.upf
ATOMIC_POSITIONS crystal
Ba 0.000 0.000 0.000
H 0.000 0.500 0.500
H 0.500 0.000 0.500
Pb 0.500 0.500 0.500
O 0.500 0.500 0.000
CELL_PARAMETERS angstrom
4.287 0.000 0.000
0.000 4.287 0.000
0.000 0.000 4.962
```



6.
Density functional theory data (PBE) for a relaxed TaCuSbH2 crystal. Values from VASP.

Summary:
Total moment   1.80 μB per formula unit
Crystal system   tetragonal
Space group   P4/mmm, No. 123

```
&SYSTEM
  ibrav = 0, nat = 5, ntyp = 4
/
ATOMIC_SPECIES
Ta 180.95 Ta.upf
Cu 63.55 Cu.upf
Sb 121.76 Sb.upf
H 1.01 H.upf
ATOMIC_POSITIONS crystal
Ta 0.000 0.000 0.000
Cu 0.500 0.500 0.000
Sb 0.500 0.500 0.500
H 0.000 0.500 0.500
H 0.500 0.000 0.500
CELL_PARAMETERS angstrom
3.755 0.000 0.000
0.000 3.755 0.000
0.000 0.000 5.481
```



7.
Density functional theory data (PBE) for a relaxed Ca2FeRh crystal. Values from VASP.

Summary:
Total moment   2.95 μB per formula unit
Crystal system   tetragonal
Formation energy   423.2 meV per atom
Space group   I-42d, No. 122

```
&SYSTEM
  ibrav = 0, nat = 8, ntyp = 3
/
ATOMIC_SPECIES
Ca 40.08 Ca.upf
Fe 55.84 Fe.upf
Rh 102.91 Rh.upf
ATOMIC_POSITIONS crystal
Ca 0.099 0.625 0.974
Ca 0.375 0.349 0.474
Ca 0.651 0.125 0.026
Ca 0.875 0.901 0.526
Fe 0.250 0.750 0.500
Fe 0.500 0.500 0.000
Rh 0.000 0.000 0.000
Rh 0.750 0.250 0.500
CELL_PARAMETERS angstrom
-3.909 3.909 2.929
3.909 -3.909 2.929
3.909 3.909 -2.929
```



8.
Density functional theory data (PBE) for a relaxed LiPrEr2In4 crystal. Values from VASP.

Summary:
Total moment   0.00 μB per formula unit
Crystal system   trigonal
Formation energy   -401.8 meV per atom
Space group   R-3m, No. 166

```
&SYSTEM
  ibrav = 0, nat = 8, ntyp = 4
/
ATOMIC_SPECIES
Li 6.94 Li.upf
Pr 140.91 Pr.upf
Er 167.26 Er.upf
In 114.82 In.upf
ATOMIC_POSITIONS crystal
Li 0.000 0.000 0.000
Pr 0.500 0.500 0.500
Er 0.254 0.254 0.254
Er 0.746 0.746 0.746
In 0.120 0.120 0.120
In 0.372 0.372 0.372
In 0.628 0.628 0.628
In 0.880 0.880 0.880
CELL_PARAMETERS angstrom
2.615 1.510 8.801
-2.615 1.510 8.801
0.000 -3.020 8.801
```



9.
Density functional theory data (PBE) for a relaxed GdPaSi2 crystal. Values from VASP.

Summary:
Total moment   6.98 μB per formula unit
Crystal system   trigonal
Space group   R-3m, No. 166

```
&SYSTEM
  ibrav = 0, nat = 4, ntyp = 3
/
ATOMIC_SPECIES
Gd 157.25 Gd.upf
Pa 231.04 Pa.upf
Si 28.09 Si.upf
ATOMIC_POSITIONS crystal
Gd 0.000 0.000 0.000
Pa 0.500 0.500 0.500
Si 0.247 0.247 0.247
Si 0.753 0.753 0.753
CELL_PARAMETERS angstrom
2.277 1.315 5.124
-2.277 1.315 5.124
0.000 -2.629 5.124
```



10.
Density functional theory data (PBE) for a relaxed MoPRu crystal. Values from VASP.

Summary:
Total moment   0.00 μB per formula unit
Crystal system   monoclinic
ΔE to the lowest computed polymorph   165.3 meV/atom
Formation energy   -365.6 meV per atom
Space group   Pm, No. 6

```
&SYSTEM
  ibrav = 0, nat = 6, ntyp = 3
/
ATOMIC_SPECIES
Mo 95.94 Mo.upf
P 30.97 P.upf
Ru 101.07 Ru.upf
ATOMIC_POSITIONS crystal
Mo 0.000 0.000 0.000
Mo 0.442 0.000 0.715
P 0.537 0.500 0.013
P 0.804 0.000 0.337
Ru 0.357 0.500 0.335
Ru 0.917 0.500 0.622
CELL_PARAMETERS angstrom
4.416 0.000 0.000
0.000 2.944 0.000
-1.032 0.000 6.406
```



11.
Density functional theory data (PBE) for a relaxed Cs3MgU3S8 crystal. Values from VASP.

Summary:
Total moment   7.00 μB per formula unit
Crystal system   trigonal
Space group   R-3m, No. 166

```
&SYSTEM
  ibrav = 0, nat = 15, ntyp = 4
/
ATOMIC_SPECIES
Cs 132.91 Cs.upf
Mg 24.30 Mg.upf
U 238.03 U.upf
S 32.06 S.upf
ATOMIC_POSITIONS crystal
Cs 0.000 0.500 0.500
Cs 0.500 0.000 0.500
Cs 0.500 0.500 0.000
Mg 0.500 0.500 0.500
U 0.000 0.000 0.500
U 0.000 0.500 0.000
U 0.500 0.000 0.000
S 0.226 0.724 0.724
S 0.227 0.227 0.227
S 0.276 0.276 0.774
S 0.276 0.774 0.276
S 0.724 0.226 0.724
S 0.724 0.724 0.226
S 0.773 0.773 0.773
S 0.774 0.276 0.276
CELL_PARAMETERS angstrom
4.016 2.318 8.201
-4.016 2.318 8.201
0.000 -4.637 8.201
```



12.
Density functional theory data (PBE) for a relaxed Y5TmAg6 crystal. Values from VASP.

Summary:
Total moment   0.00 μB per formula unit
Crystal system   orthorhombic
Formation energy   -333.7 meV per atom
Space group   Cmmm, No. 65

```
&SYSTEM
  ibrav = 0, nat = 12, ntyp = 3
/
ATOMIC_SPECIES
Y 88.91 Y.upf
Tm 168.93 Tm.upf
Ag 107.87 Ag.upf
ATOMIC_POSITIONS crystal
Y 0.000 0.000 0.000
Y 0.333 0.667 0.000
Y 0.334 0.666 0.500
Y 0.666 0.334 0.500
Y 0.667 0.333 0.000
Tm 0.000 0.000 0.500
Ag 0.165 0.835 0.253
Ag 0.165 0.835 0.747
Ag 0.500 0.500 0.254
Ag 0.500 0.500 0.746
Ag 0.835 0.165 0.253
Ag 0.835 0.165 0.747
CELL_PARAMETERS angstrom
2.581 -7.744 0.000
2.581 7.744 0.000
0.000 0.000 7.217
```



In eV per cell, the uncorrected energy values for the records above are, in order, -84.66; -16.63; -35.62; -33.49; -20.44; -21.40; -36.25; -29.99; -36.05; -53.23; -91.79; -57.90.
In states/eV per atom, the DOS(E_F) values for the records above are, in order, 0.326; 0.978; 0.566; 1.670; 0.058; 0.674; 0.895; 0.527; 0.782; 0.515; 0.751; 0.494.